1 | # MgIn3Ga (GGA-PBE, relaxed)
data_MgIn3Ga
_space_group_name_H-M_alt 'P 1'
_space_group_IT_number 1
_cell_length_a 5.3518
_cell_length_b 5.3518
_cell_length_c 5.3518
_cell_angle_alpha 90.00
_cell_angle_beta 90.00
_cell_angle_gamma 90.00
loop_
_space_group_symop_operation_xyz
'x,y,z'
loop_
_atom_site_label
_atom_site_type_symbol
_atom_site_fract_x
_atom_site_fract_y
_atom_site_fract_z
Mg1 Mg 0.5000 0.5000 0.5000
Ga1 Ga 0.0000 0.0000 0.0000
In1 In 0.0000 0.5000 0.0000
In2 In 0.0000 0.0000 0.5000
In3 In 0.5000 0.0000 0.0000
# SG	Pm-3m (221)
# V	30.66	A^3/atom

***

2 | # MgIn3Ga (GGA-PBE, relaxed)
data_MgIn3Ga
_space_group_name_H-M_alt 'P 1'
_space_group_IT_number 1
_cell_length_a 4.4194
_cell_length_b 6.5406
_cell_length_c 8.7307
_cell_angle_alpha 79.04
_cell_angle_beta 103.65
_cell_angle_gamma 90.02
loop_
_space_group_symop_operation_xyz
'x,y,z'
loop_
_atom_site_label
_atom_site_type_symbol
_atom_site_fract_x
_atom_site_fract_y
_atom_site_fract_z
Mg1 Mg 0.4223 0.8442 0.8695
Mg2 Mg 0.6217 0.7343 0.2846
In1 In 0.0241 0.5457 0.0747
In2 In 0.4139 0.3313 0.8629
In3 In 0.6301 0.2471 0.2911
In4 In 0.0199 0.0327 0.0794
In5 In 0.2262 0.9449 0.4870
In6 In 0.8178 0.6335 0.6670
Ga1 Ga 0.2198 0.4366 0.4792
Ga2 Ga 0.8242 0.1418 0.6749
# SG	P-1 (2)
# V	24.05	A^3/atom

***

3 | # MgIn3Ga (GGA-PBE, relaxed)
data_MgIn3Ga
_space_group_name_H-M_alt 'P 1'
_space_group_IT_number 1
_cell_length_a 5.4509
_cell_length_b 5.4509
_cell_length_c 5.4509
_cell_angle_alpha 90.00
_cell_angle_beta 90.00
_cell_angle_gamma 90.00
loop_
_space_group_symop_operation_xyz
'x,y,z'
loop_
_atom_site_label
_atom_site_type_symbol
_atom_site_fract_x
_atom_site_fract_y
_atom_site_fract_z
Mg1 Mg 0.0000 0.0000 0.0000
Ga1 Ga 0.5000 0.5000 0.5000
In1 In 0.0000 0.5000 0.0000
In2 In 0.0000 0.0000 0.5000
In3 In 0.5000 0.0000 0.0000
# SG	Pm-3m (221)
# V	32.39	A^3/atom

***

4 | # MgIn3Ga (GGA-PBE, relaxed)
data_MgIn3Ga
_space_group_name_H-M_alt 'P 1'
_space_group_IT_number 1
_cell_length_a 5.4546
_cell_length_b 9.1927
_cell_length_c 10.1239
_cell_angle_alpha 90.00
_cell_angle_beta 90.00
_cell_angle_gamma 90.00
loop_
_space_group_symop_operation_xyz
'x,y,z'
loop_
_atom_site_label
_atom_site_type_symbol
_atom_site_fract_x
_atom_site_fract_y
_atom_site_fract_z
Mg1 Mg 0.5000 0.0000 0.0000
Mg2 Mg 0.0000 0.5000 0.5000
Mg3 Mg 0.0000 0.5000 0.0000
Mg4 Mg 0.5000 0.0000 0.5000
In1 In 0.9984 0.1665 0.0690
In2 In 0.4984 0.3335 0.5690
In3 In 0.4984 0.3335 0.9310
In4 In 0.0016 0.8335 0.5690
In5 In 0.0016 0.8335 0.9310
In6 In 0.5016 0.6665 0.4310
In7 In 0.5016 0.6665 0.0690
In8 In 0.9984 0.1665 0.4310
In9 In 0.7889 0.9033 0.2500
In10 In 0.2889 0.5967 0.7500
In11 In 0.2111 0.0967 0.7500
In12 In 0.7111 0.4033 0.2500
Ga1 Ga 0.4258 0.1466 0.2500
Ga2 Ga 0.9258 0.3534 0.7500
Ga3 Ga 0.5742 0.8534 0.7500
Ga4 Ga 0.0742 0.6466 0.2500
# SG	Pnma (62)
# V	25.38	A^3/atom

***

Result of the stability comparison: 2 is the most stable of them.

***

1 | # Mg7In12Ga (GGA-PBE, relaxed)
data_Mg7In12Ga
_space_group_name_H-M_alt 'P 1'
_space_group_IT_number 1
_cell_length_a 8.3642
_cell_length_b 8.3642
_cell_length_c 8.3642
_cell_angle_alpha 106.58
_cell_angle_beta 106.58
_cell_angle_gamma 106.58
loop_
_space_group_symop_operation_xyz
'x,y,z'
loop_
_atom_site_label
_atom_site_type_symbol
_atom_site_fract_x
_atom_site_fract_y
_atom_site_fract_z
Mg1 Mg 0.1098 0.6841 0.9928
Mg2 Mg 0.3159 0.0072 0.8902
Mg3 Mg 0.0072 0.8902 0.3159
Mg4 Mg 0.5000 0.5000 0.5000
Mg5 Mg 0.9928 0.1098 0.6841
Mg6 Mg 0.6841 0.9928 0.1098
Mg7 Mg 0.8902 0.3159 0.0072
In1 In 0.7859 0.3329 0.6171
In2 In 0.6671 0.3829 0.2141
In3 In 0.3979 0.0587 0.2867
In4 In 0.9413 0.7133 0.6021
In5 In 0.3829 0.2141 0.6671
In6 In 0.7133 0.6021 0.9413
In7 In 0.2867 0.3979 0.0587
In8 In 0.6171 0.7859 0.3329
In9 In 0.0587 0.2867 0.3979
In10 In 0.6021 0.9413 0.7133
In11 In 0.3329 0.6171 0.7859
In12 In 0.2141 0.6671 0.3829
Ga1 Ga 0.0000 0.0000 0.0000
# SG	R-3 (148)
# V	24.64	A^3/atom

***

2 | # Mg7In12Ga (GGA-PBE, relaxed)
data_Mg7In12Ga
_space_group_name_H-M_alt 'P 1'
_space_group_IT_number 1
_cell_length_a 6.0184
_cell_length_b 10.0105
_cell_length_c 9.9249
_cell_angle_alpha 114.40
_cell_angle_beta 101.68
_cell_angle_gamma 100.81
loop_
_space_group_symop_operation_xyz
'x,y,z'
loop_
_atom_site_label
_atom_site_type_symbol
_atom_site_fract_x
_atom_site_fract_y
_atom_site_fract_z
Mg1 Mg 0.1188 0.7742 0.0598
Mg2 Mg 0.9574 0.0650 0.2921
Mg3 Mg 0.6574 0.7155 0.7796
Mg4 Mg 0.5000 0.0000 0.0000
Mg5 Mg 0.3426 0.2845 0.2204
Mg6 Mg 0.0426 0.9350 0.7079
Mg7 Mg 0.8812 0.2258 0.9402
In1 In 0.2125 0.5467 0.1696
In2 In 0.9556 0.1896 0.6260
In3 In 0.5986 0.7178 0.0839
In4 In 0.4851 0.0645 0.3571
In5 In 0.3534 0.3737 0.5553
In6 In 0.1128 0.6263 0.6982
In7 In 0.8872 0.3737 0.3018
In8 In 0.6466 0.6263 0.4447
In9 In 0.5149 0.9355 0.6429
In10 In 0.4014 0.2822 0.9161
In11 In 0.0444 0.8104 0.3740
In12 In 0.7875 0.4533 0.8304
Ga1 Ga 0.0000 0.0000 0.0000
# SG	P-1 (2)
# V	25.40	A^3/atom

***

Result of the stability comparison: 1 is the most stable of them.

***

1 | # Mg2InGa (GGA-PBE, relaxed)
data_Mg2InGa
_space_group_name_H-M_alt 'P 1'
_space_group_IT_number 1
_cell_length_a 6.6516
_cell_length_b 6.6516
_cell_length_c 6.6516
_cell_angle_alpha 54.99
_cell_angle_beta 152.10
_cell_angle_gamma 133.62
loop_
_space_group_symop_operation_xyz
'x,y,z'
loop_
_atom_site_label
_atom_site_type_symbol
_atom_site_fract_x
_atom_site_fract_y
_atom_site_fract_z
Mg1 Mg 0.0000 0.2362 0.2362
Mg2 Mg 0.0000 0.7638 0.7638
In1 In 0.0000 0.5000 0.5000
Ga1 Ga 0.0000 0.0000 0.0000
# SG	Immm (71)
# V	24.78	A^3/atom

***

2 | # Mg2InGa (GGA-PBE, relaxed)
data_Mg2InGa
_space_group_name_H-M_alt 'P 1'
_space_group_IT_number 1
_cell_length_a 4.1775
_cell_length_b 4.5293
_cell_length_c 4.5293
_cell_angle_alpha 90.00
_cell_angle_beta 90.00
_cell_angle_gamma 90.00
loop_
_space_group_symop_operation_xyz
'x,y,z'
loop_
_atom_site_label
_atom_site_type_symbol
_atom_site_fract_x
_atom_site_fract_y
_atom_site_fract_z
Mg1 Mg 0.0000 0.0000 0.5000
Mg2 Mg 0.0000 0.5000 0.0000
Ga1 Ga 0.5000 0.0000 0.0000
In1 In 0.5000 0.5000 0.5000
# SG	P4/mmm (123)
# V	21.42	A^3/atom

***

Result of the stability comparison: 2 is the most stable of them.

***

1 | # Mg2InGa (GGA-PBE, relaxed)
data_Mg2InGa
_space_group_name_H-M_alt 'P 1'
_space_group_IT_number 1
_cell_length_a 4.9617
_cell_length_b 4.9617
_cell_length_c 4.9617
_cell_angle_alpha 60.00
_cell_angle_beta 60.00
_cell_angle_gamma 60.00
loop_
_space_group_symop_operation_xyz
'x,y,z'
loop_
_atom_site_label
_atom_site_type_symbol
_atom_site_fract_x
_atom_site_fract_y
_atom_site_fract_z
Mg1 Mg 0.2500 0.2500 0.2500
Mg2 Mg 0.7500 0.7500 0.7500
Ga1 Ga 0.0000 0.0000 0.0000
In1 In 0.5000 0.5000 0.5000
# SG	Fm-3m (225)
# V	21.59	A^3/atom

***

2 | # Mg2InGa (GGA-PBE, relaxed)
data_Mg2InGa
_space_group_name_H-M_alt 'P 1'
_space_group_IT_number 1
_cell_length_a 4.3968
_cell_length_b 4.3968
_cell_length_c 10.3209
_cell_angle_alpha 77.70
_cell_angle_beta 77.70
_cell_angle_gamma 90.00
loop_
_space_group_symop_operation_xyz
'x,y,z'
loop_
_atom_site_label
_atom_site_type_symbol
_atom_site_fract_x
_atom_site_fract_y
_atom_site_fract_z
Mg1 Mg 0.6148 0.1250 0.2500
Mg2 Mg 0.1352 0.6250 0.2500
Mg3 Mg 0.3750 0.3852 0.7500
Mg4 Mg 0.8750 0.8648 0.7500
Ga1 Ga 0.5000 0.5000 0.0000
Ga2 Ga 0.2500 0.7500 0.5000
In1 In 0.0000 0.0000 0.0000
In2 In 0.7500 0.2500 0.5000
# SG	I-42d (122)
# V	23.78	A^3/atom

***

Result of the stability comparison: 1 is the most stable of them.

***

1 | # Mg2InGa (GGA-PBE, relaxed)
data_Mg2InGa
_space_group_name_H-M_alt 'P 1'
_space_group_IT_number 1
_cell_length_a 3.4788
_cell_length_b 3.4788
_cell_length_c 7.1046
_cell_angle_alpha 90.00
_cell_angle_beta 90.00
_cell_angle_gamma 90.00
loop_
_space_group_symop_operation_xyz
'x,y,z'
loop_
_atom_site_label
_atom_site_type_symbol
_atom_site_fract_x
_atom_site_fract_y
_atom_site_fract_z
Mg1 Mg 0.0000 0.0000 0.7725
Mg2 Mg 0.0000 0.0000 0.2275
Ga1 Ga 0.5000 0.5000 0.0000
In1 In 0.5000 0.5000 0.5000
# SG	P4/mmm (123)
# V	21.50	A^3/atom

***

2 | # Mg2InGa (GGA-PBE, relaxed)
data_Mg2InGa
_space_group_name_H-M_alt 'P 1'
_space_group_IT_number 1
_cell_length_a 4.6446
_cell_length_b 4.6446
_cell_length_c 5.7438
_cell_angle_alpha 66.15
_cell_angle_beta 66.15
_cell_angle_gamma 60.00
loop_
_space_group_symop_operation_xyz
'x,y,z'
loop_
_atom_site_label
_atom_site_type_symbol
_atom_site_fract_x
_atom_site_fract_y
_atom_site_fract_z
Mg1 Mg 0.0586 0.0586 0.8241
Mg2 Mg 0.2713 0.2713 0.1862
In1 In 0.4897 0.4897 0.5308
Ga1 Ga 0.6804 0.6804 0.9589
# SG	R3m (160)
# V	23.72	A^3/atom

***

Result of the stability comparison: 1 is the most stable of them.